Entry from Alexandria: a geometry-optimized AlCo2Au structure (PBE).

Values from the calculation:
DFT total energy = -5.391 eV per atom
magnetic moment = 1.77 μB/f.u.
ΔH_f (0 K) = -0.083 eV/atom

Cell: 2.938 2.938 6.096 Å, 90.00 90.00 90.00°
Space group P4/mmm (No. 123)
Unique sites:
Al 0.000 0.000 0.000 (multiplicity 1)
Co 0.500 0.500 0.219 (multiplicity 2)
Au 0.000 0.000 0.500 (multiplicity 1)

=====

Entry from Alexandria: a geometry-optimized AlCoAu structure (PBE).

Values from the calculation:
DFT total energy = -4.692 eV per atom
magnetic moment = 0.00 μB/f.u.
ΔH_f (0 K) = 0.017 eV/atom

Cell: 5.802 5.802 5.802 Å, 90.00 90.00 90.00°
Space group F-43m (No. 216)
Unique sites:
Al 0.000 0.000 0.000 (multiplicity 4)
Co 0.250 0.250 0.250 (multiplicity 4)
Au 0.000 0.000 0.500 (multiplicity 4)

=====

Entry from Alexandria: a geometry-optimized Al4Co3Au structure (PBE).

Values from the calculation:
DFT total energy = -5.418 eV per atom
magnetic moment = 1.72 μB/f.u.
ΔH_f (0 K) = -0.473 eV/atom

Cell: 4.103 4.103 6.120 Å, 90.00 90.00 90.00°
Space group P4/mmm (No. 123)
Unique sites:
Al 0.000 0.500 0.228 (multiplicity 4)
Co 0.000 0.000 0.000 (multiplicity 1)
Co 0.000 0.000 0.500 (multiplicity 1)
Co 0.500 0.500 0.000 (multiplicity 1)
Au 0.500 0.500 0.500 (multiplicity 1)

=====

Entry from Alexandria: a geometry-optimized AlCoAu structure (PBE).

Values from the calculation:
DFT total energy = -4.958 eV per atom
magnetic moment = 1.16 μB/f.u.
ΔH_f (0 K) = -0.249 eV/atom

Cell: 2.843 2.843 21.905 Å, 90.00 90.00 90.00°
Space group I4/mmm (No. 139)
Unique sites:
Al 0.000 0.000 0.151 (multiplicity 4)
Co 0.000 0.000 0.282 (multiplicity 4)
Au 0.000 0.000 0.435 (multiplicity 4)

=====

Entry from Alexandria: a geometry-optimized AlCo2Au structure (PBE).

Values from the calculation:
DFT total energy = -5.388 eV per atom
magnetic moment = 2.16 μB/f.u.
ΔH_f (0 K) = -0.080 eV/atom

Cell: 2.776 3.563 5.416 Å, 90.00 90.14 90.00°
Space group P2/m (No. 10)
Unique sites:
Al 0.000 0.000 0.000 (multiplicity 1)
Co 0.499 0.500 0.216 (multiplicity 2)
Au 0.000 0.000 0.500 (multiplicity 1)

=====

Entry from Alexandria: a geometry-optimized Al2CoAu structure (PBE).

Values from the calculation:
DFT total energy = -4.732 eV per atom
magnetic moment = 0.00 μB/f.u.
ΔH_f (0 K) = -0.265 eV/atom

Cell: 3.9589 3.9589 13.5701 Å, 90.00 90.00 120.00°
Space group R3m (No. 160, hexagonal axes)
Unique sites:
Al 0.0000 0.0000 0.0000 (multiplicity 3)
Al 0.0000 0.0000 0.2122 (multiplicity 3)
Co 0.0000 0.0000 0.5839 (multiplicity 3)
Au 0.0000 0.0000 0.7792 (multiplicity 3)